VASP calculation (PBE) on a geometry-optimized Ti2ZnTc2 structure.

Results
* polymorph energy (0 for the lowest one): 490 meV/atom
* formation energy from the elements: 0.41 eV per atom
* total DFT energy (no corrections): -7.15 eV per atom
* DOS(E_F): 5.70 states/eV/f.u.

abc: 3.9870 3.9870 11.0776
angles: 90.00 90.00 90.00
With the nearest neighbours (Å) after each atom.
Positions (direct):
Ti1 0.0000 0.5000 0.2500  4 Tc 2.53, 4 Ti 2.82
Ti2 0.0000 0.5000 0.7500  4 Tc 2.53, 4 Ti 2.82
Ti3 0.5000 0.0000 0.2500  4 Tc 2.53, 4 Ti 2.82
Ti4 0.5000 0.0000 0.7500  4 Tc 2.53, 4 Ti 2.82
Zn1 0.0000 0.0000 0.0000  8 Tc 3.07, 8 Ti 3.41
Zn2 0.5000 0.5000 0.5000  8 Tc 3.07, 8 Ti 3.41
Tc1 0.0000 0.0000 0.3901  1 Tc 2.43, 4 Ti 2.53
Tc2 0.0000 0.0000 0.6099  1 Tc 2.43, 4 Ti 2.53
Tc3 0.5000 0.5000 0.1099  1 Tc 2.43, 4 Ti 2.53
Tc4 0.5000 0.5000 0.8901  1 Tc 2.43, 4 Ti 2.53